Entry 1:
The following is a DFT calculation (GGA-PBEsol) of LiVPO4F after structural relaxation.

Output
E	-119.51	eV per cell
uncorrected formation energy	-2.430	eV per atom

Unit cell a=5.1612 b=5.2935 c=7.2123 alpha=106.76 beta=108.51 gamma=98.35
With the nearest neighbours (Å) after each atom.
Sites, in units of the cell vectors:
V 0.0000 0.0000 0.0000  4 O 1.93-2.02, 2 F 1.97
V 0.0000 0.0000 0.5000  4 O 1.96, 2 F 1.97
O 0.2458 0.7803 0.6028  1 P 1.53
O 0.6910 0.6647 0.3423  1 P 1.55
O 0.6317 0.7592 0.9174  1 P 1.55
O 0.3090 0.3353 0.6577  1 P 1.55
O 0.7542 0.2197 0.3972  1 P 1.53
O 0.3683 0.2408 0.0826  1 P 1.55
O 0.1235 0.6608 0.8891  1 P 1.56
O 0.8765 0.3392 0.1109  1 P 1.56
F 0.1275 0.9324 0.2647  1 Li 1.92, 2 V 1.97
F 0.8725 0.0676 0.7353  1 Li 1.92, 2 V 1.97
Li 0.7341 0.3843 0.8104  1 F 1.92, 3 O 2.06-2.12
Li 0.2659 0.6157 0.1896  1 F 1.92, 3 O 2.06-2.12
P 0.6800 0.3610 0.2376  4 O 1.53-1.56
P 0.3200 0.6390 0.7624  4 O 1.53-1.56

=====

Entry 2:
The following is a DFT calculation (GGA-PBEsol) of Li2VPO4F after structural relaxation.

Output
E	-125.89	eV per cell
uncorrected formation energy	-2.296	eV per atom

Unit cell a=5.3554 b=5.3554 c=7.2707 alpha=108.00 beta=108.00 gamma=95.13
With the nearest neighbours (Å) after each atom.
Sites, in units of the cell vectors:
V 0.5007 0.4991 0.2502  2 F 2.08-2.13, 4 O 2.08-2.12
V 0.5009 0.4993 0.7498  2 F 2.08-2.13, 4 O 2.08-2.12
Li 0.9777 0.4039 0.6854  1 F 1.89, 3 O 1.94-1.96
Li 0.2834 0.9771 0.9075  4 O 2.02-2.21, 1 F 2.15
Li 0.0229 0.7166 0.0925  4 O 2.02-2.21, 1 F 2.15
Li 0.5961 0.0223 0.3146  1 F 1.89, 3 O 1.94-1.96
F 0.3614 0.6386 0.0000  2 V 2.13, 2 Li 2.15
F 0.6292 0.3708 0.5000  2 Li 1.89, 2 V 2.08
O 0.1537 0.2004 0.1396  1 P 1.55
O 0.8555 0.7870 0.3425  1 P 1.55
O 0.7996 0.8463 0.8604  1 P 1.55
O 0.2130 0.1445 0.6575  1 P 1.55
O 0.6528 0.1744 0.1145  1 P 1.55
O 0.8256 0.3472 0.8855  1 P 1.55
O 0.3308 0.8163 0.3711  1 P 1.55
O 0.1837 0.6692 0.6289  1 P 1.55
P 0.1461 0.8539 0.5000  4 O 1.55
P 0.8556 0.1444 0.0000  4 O 1.55

=====

Entry 3:
The following is a DFT calculation (GGA-PBEsol) of LiPdO2F after structural relaxation.

Output
E	-24.38	eV per cell
uncorrected formation energy	-0.805	eV per atom

Unit cell a=3.8207 b=3.8207 c=4.3064 alpha=90.00 beta=90.00 gamma=90.00
With the nearest neighbours (Å) after each atom.
Sites, in units of the cell vectors:
Pd 0.0000 0.0000 0.0000  4 O 1.91
Li 0.5000 0.5000 0.5000  4 F 2.70, 8 O 2.88
O 0.0000 0.5000 0.0000  2 Pd 1.91
O 0.5000 0.0000 0.0000  2 Pd 1.91
F 0.0000 0.0000 0.5000  2 Pd 2.15